Crystalline LiRu at its relaxed geometry. Source: the Alexandria database, functional PBE.

abc: 3.2799 3.2799 3.2799
angles: 60.00 60.00 60.00
Fractional coordinates of all 2 atoms:
Li: 0.0000 0.0000 0.0000
Ru: 0.5000 0.5000 0.5000

The value obtained for the energy of formation from the pure elements is 1.008 eV per atom. For the final energy, the calculation gives -4.587 eV per atom.